Entry 1:
CaScRu PBE optimized geometry; magnetization = 0.000 μB/f.u.; total DFT energy (no corrections) = -0.2238 Ha/atom; ΔE_f = -219 meV per atom; distance to the lowest polymorph of the same formula = 0.028 eV/atom
1.0
3.333 0.000 0.000
0.000 3.333 0.000
0.000 0.000 12.339
Sc Ca Ru
2 2 2
Direct
0.000 0.000 0.120
0.000 0.000 0.367
0.000 0.000 0.630
0.500 0.500 0.893
0.500 0.500 0.484
0.500 0.500 0.228

---

Entry 2:
Ca2ScRu PBE optimized geometry; magnetization = 0.000 μB/f.u.; total DFT energy (no corrections) = -0.1730 Ha/atom; ΔE_f = 196 meV per atom; distance to the lowest polymorph of the same formula = 0.304 eV/atom
1.0
-1.850 1.083 4.586
1.525 -4.528 1.673
3.319 3.134 -2.190
Ca Sc Ru
2 1 1
Direct
0.250 0.750 0.500
0.000 0.000 0.000
0.750 0.250 0.500
0.500 0.500 0.000

---

Entry 3:
CaScRu2 PBE optimized geometry; magnetization = 0.000 μB/f.u.; total DFT energy (no corrections) = -0.2308 Ha/atom; ΔE_f = 442 meV per atom
1.0
-0.332 -5.606 8.017
-2.659 -6.866 6.450
0.227 -7.789 5.924
Ca Ru Sc
1 2 1
Direct
0.739 0.739 0.739
0.255 0.255 0.255
0.989 0.989 0.989
0.517 0.517 0.517

---

Entry 4:
CaScRu2 PBE optimized geometry; magnetization = 0.000 μB/f.u.; total DFT energy (no corrections) = -0.2449 Ha/atom; ΔE_f = 57 meV per atom
1.0
-0.139 1.318 4.003
-2.900 -0.778 0.156
0.642 -5.777 1.925
Ca Ru Sc
1 2 1
Direct
0.500 0.750 0.750
0.000 0.474 0.441
0.000 0.026 0.059
0.500 0.250 0.250

---

Entry 5:
CaScRu2 PBE optimized geometry; magnetization = 1.005 μB/f.u.; total DFT energy (no corrections) = -0.2472 Ha/atom; ΔE_f = -6 meV per atom
1.0
3.319 0.000 0.000
0.000 3.319 0.000
0.000 0.000 6.779
Sc Ca Ru
1 1 2
Direct
0.500 0.500 0.250
0.500 0.500 0.750
0.000 0.000 0.459
0.000 0.000 0.041

---

Entry 6:
CaScRu2 PBE optimized geometry; magnetization = 0.001 μB/f.u.; total DFT energy (no corrections) = -0.2391 Ha/atom; ΔE_f = 216 meV per atom
1.0
-4.663 -0.061 2.961
-1.702 -4.684 2.383
4.616 3.008 -0.401
Ru Sc Ca
2 1 1
Direct
0.250 0.750 0.500
0.000 0.000 0.000
0.500 0.500 0.000
0.750 0.250 0.500

---

Entry 7:
CaScRu PBE optimized geometry; magnetization = 0.000 μB/f.u.; total DFT energy (no corrections) = -0.2222 Ha/atom; ΔE_f = -177 meV per atom; distance to the lowest polymorph of the same formula = 0.070 eV/atom
1.0
6.482 -0.027 0.029
5.618 3.234 0.040
0.864 0.219 3.254
Ru Sc Ca
1 1 1
Direct
0.315 0.315 0.685
0.712 0.712 0.288
0.973 0.973 0.027

---

Entry 8:
Ca2ScRu PBE optimized geometry; magnetization = 0.677 μB/f.u.; total DFT energy (no corrections) = -0.1668 Ha/atom; ΔE_f = 363 meV per atom; distance to the lowest polymorph of the same formula = 0.471 eV/atom
1.0
3.715 0.000 0.000
0.000 3.715 0.000
0.000 0.000 7.181
Ca Sc Ru
2 1 1
Direct
0.000 0.000 0.043
0.000 0.000 0.457
0.500 0.500 0.750
0.500 0.500 0.250